NdHo5Tl6 after structural relaxation, computed with PBE.

It has space group C2/m (No. 12), with a = 9.8104 Å, b = 11.2562 Å, c = 6.5772 Å, α = 90.00°, β = 102.68° and γ = 90.00°. The distinct sites, in fractional coordinates, are Nd at (0.0000, 0.0000, 0.0000), Ho at (0.0000, 0.1663, 0.5000), Ho at (0.0000, 0.3357, 0.0000), Ho at (0.0000, 0.5000, 0.5000), Tl at (0.2474, 0.3291, 0.7454) and Tl at (0.2480, 0.5000, 0.2587).

For the energy above the most stable polymorph in this dataset, the calculation gives 0.088 eV per atom. As for the spin magnetization: 0.000 μB/f.u.

Y5Hg after structural relaxation, computed with PBE.

It has space group Cmmm (No. 65), with a = 4.8295 Å, b = 15.1973 Å, c = 4.8383 Å, α = 90.00°, β = 90.00° and γ = 90.00°. The distinct sites, in fractional coordinates, are Y at (0.0000, 0.0000, 0.0000), Y at (0.0000, 0.1607, 0.5000), Y at (0.0000, 0.3321, 0.0000) and Hg at (0.0000, 0.5000, 0.5000).

For the energy above the most stable polymorph in this dataset, the calculation gives 0.056 eV per atom. As for the spin magnetization: 0.000 μB/f.u.

As2IrCl after structural relaxation, computed with PBE.

It has space group Cmmm (No. 65), with a = 5.2570 Å, b = 8.4734 Å, c = 3.1246 Å, α = 90.00°, β = 90.00° and γ = 90.00°. The distinct sites, in fractional coordinates, are As at (0.2500, 0.2500, 0.0000), Ir at (0.0000, 0.0000, 0.5000) and Cl at (0.0000, 0.5000, 0.5000).

For the energy above the most stable polymorph in this dataset, the calculation gives 0.834 eV per atom. As for the spin magnetization: 0.000 μB/f.u. The calculation puts the uncorrected formation energy at 227 kJ/mol of formula units.

BaEu2Lu after structural relaxation, computed with PBE.

It has space group Fm-3m (No. 225), with a = 8.7343 Å, b = 8.7343 Å, c = 8.7343 Å, α = 90.00°, β = 90.00° and γ = 90.00°. The distinct sites, in fractional coordinates, are Ba at (0.0000, 0.0000, 0.0000), Eu at (0.2500, 0.2500, 0.2500) and Lu at (0.0000, 0.0000, 0.5000).

For the energy above the most stable polymorph in this dataset, the calculation gives 0.081 eV per atom. As for the spin magnetization: 14.399 μB/f.u.

AlZn2Rh after structural relaxation, computed with PBE.

It has space group I-42d (No. 122), with a = 7.1095 Å, b = 7.1095 Å, c = 5.0360 Å, α = 90.00°, β = 90.00° and γ = 90.00°. The distinct sites, in fractional coordinates, are Al at (0.0000, 0.0000, 0.0000), Zn at (0.2383, 0.2500, 0.6250) and Rh at (0.0000, 0.0000, 0.5000).

The calculation puts the total energy at -3.432 eV/atom. As for the spin magnetization: 0.000 μB/f.u.

KGaSn after structural relaxation, computed with PBE.

It has space group P-1 (No. 2), with a = 4.4693 Å, b = 6.5401 Å, c = 7.2551 Å, α = 94.19°, β = 107.89° and γ = 109.92°. The distinct sites, in fractional coordinates, are K at (0.2237, 0.2902, 0.1559), Ga at (0.0611, 0.6849, 0.4392) and Sn at (0.4009, 0.1125, 0.6879).

The calculation puts the total energy at -2.909 eV/atom. As for the spin magnetization: 0.000 μB/f.u.

Te3Ir after structural relaxation, computed with PBE.

It has space group C2/m (No. 12), with a = 7.0013 Å, b = 4.0320 Å, c = 8.8752 Å, α = 90.00°, β = 105.69° and γ = 90.00°. The distinct sites, in fractional coordinates, are Te at (0.0000, 0.0000, 0.0000), Te at (0.1141, 0.0000, 0.3461) and Ir at (0.0000, 0.5000, 0.5000).

As for the spin magnetization: 0.000 μB/f.u. The calculation puts the uncorrected formation energy at -24 kJ/mol of formula units.

PuPaBe after structural relaxation, computed with PBE.

It has space group I4mm (No. 107), with a = 2.9696 Å, b = 2.9696 Å, c = 13.2556 Å, α = 90.00°, β = 90.00° and γ = 90.00°. The distinct sites, in fractional coordinates, are Pu at (0.0000, 0.0000, 0.0000), Pa at (0.0000, 0.0000, 0.2965) and Be at (0.0000, 0.0000, 0.6480).

For the energy above the most stable polymorph in this dataset, the calculation gives 0.062 eV per atom. As for the spin magnetization: 4.993 μB/f.u.

BeGaNi2Au after structural relaxation, computed with PBE.

It has space group P4/mmm (No. 123), with a = 4.3283 Å, b = 4.3283 Å, c = 4.1321 Å, α = 90.00°, β = 90.00° and γ = 90.00°. The distinct sites, in fractional coordinates, are Be at (0.0000, 0.0000, 0.0000), Ga at (0.0000, 0.0000, 0.5000), Ni at (0.0000, 0.5000, 0.5000) and Au at (0.5000, 0.5000, 0.0000).

The calculation puts the total energy at -3.656 eV/atom. As for the spin magnetization: 0.000 μB/f.u.

Zn5In3Sn12 after structural relaxation, computed with PBE.

It has space group Ia-3d (No. 230), with a = 16.7205 Å, b = 16.7205 Å, c = 16.7205 Å, α = 90.00°, β = 90.00° and γ = 90.00°. The distinct sites, in fractional coordinates, are Zn at (0.0000, 0.0000, 0.0000), Zn at (0.0000, 0.2500, 0.3750), In at (0.0000, 0.2500, 0.1250) and Sn at (0.0214, 0.0724, 0.6477).

The calculation puts the total energy at -2.955 eV/atom. As for the spin magnetization: 0.000 μB/f.u.

SnSb2AsI after structural relaxation, computed with PBE.

It has space group P4/mmm (No. 123), with a = 5.4858 Å, b = 5.4858 Å, c = 5.5078 Å, α = 90.00°, β = 90.00° and γ = 90.00°. The distinct sites, in fractional coordinates, are Sn at (0.0000, 0.0000, 0.0000), Sb at (0.0000, 0.5000, 0.5000), As at (0.5000, 0.5000, 0.5000) and I at (0.5000, 0.5000, 0.0000).

For the energy above the most stable polymorph in this dataset, the calculation gives 0.000 eV per atom. As for the spin magnetization: 0.000 μB/f.u. The calculation puts the uncorrected formation energy at 258 kJ/mol of formula units.

Ac2AlAsPt6 after structural relaxation, computed with PBE.

It has space group C2/m (No. 12), with a = 12.2352 Å, b = 5.6010 Å, c = 8.5009 Å, α = 90.00°, β = 132.14° and γ = 90.00°. The distinct sites, in fractional coordinates, are Ac at (0.2474, 0.0000, 0.2072), Al at (0.0000, 0.5000, 0.0000), As at (0.0000, 0.0000, 0.5000), Pt at (0.0078, 0.2500, 0.2553) and Pt at (0.2472, 0.5000, 0.3814).

The calculation puts the total energy at -6.204 eV/atom. As for the spin magnetization: 0.000 μB/f.u.

SrZn2Ir after structural relaxation, computed with PBE.

It has space group Pm (No. 6), with a = 3.9876 Å, b = 4.2614 Å, c = 5.9786 Å, α = 90.00°, β = 107.94° and γ = 90.00°. The distinct sites, in fractional coordinates, are Sr at (0.0000, 0.0000, 0.0000), Zn at (0.2958, 0.0000, 0.5480), Zn at (0.7607, 0.5000, 0.4858) and Ir at (0.3888, 0.5000, 0.7607).

The calculation puts the total energy at -3.314 eV/atom. As for the spin magnetization: 0.000 μB/f.u.

K2YP after structural relaxation, computed with PBE.

It has space group Cmmm (No. 65), with a = 5.3522 Å, b = 15.0116 Å, c = 4.9071 Å, α = 90.00°, β = 90.00° and γ = 90.00°. The distinct sites, in fractional coordinates, are K at (0.0000, 0.1391, 0.0000), Y at (0.0000, 0.5000, 0.5000) and P at (0.0000, 0.0000, 0.5000).

The calculation puts the total energy at -3.675 eV/atom. As for the spin magnetization: 0.000 μB/f.u.

TlAg2Ru after structural relaxation, computed with PBE.

It has space group F-43m (No. 216), with a = 6.6048 Å, b = 6.6048 Å, c = 6.6048 Å, α = 90.00°, β = 90.00° and γ = 90.00°. The distinct sites, in fractional coordinates, are Tl at (0.0000, 0.0000, 0.0000), Ag at (0.0000, 0.0000, 0.5000), Ag at (0.2500, 0.2500, 0.7500) and Ru at (0.2500, 0.2500, 0.2500).

For the energy above the most stable polymorph in this dataset, the calculation gives 0.053 eV per atom. As for the spin magnetization: 0.000 μB/f.u.

EuDy2Pb after structural relaxation, computed with PBE.

It has space group P4/mmm (No. 123), with a = 4.9658 Å, b = 4.9658 Å, c = 4.8460 Å, α = 90.00°, β = 90.00° and γ = 90.00°. The distinct sites, in fractional coordinates, are Eu at (0.0000, 0.0000, 0.0000), Dy at (0.0000, 0.5000, 0.5000) and Pb at (0.5000, 0.5000, 0.0000).

For the energy above the most stable polymorph in this dataset, the calculation gives 0.000 eV per atom. As for the spin magnetization: 7.730 μB/f.u.

NbPbSN2 after structural relaxation, computed with PBE.

It has space group P4/mmm (No. 123), with a = 4.2132 Å, b = 4.2132 Å, c = 5.2243 Å, α = 90.00°, β = 90.00° and γ = 90.00°. The distinct sites, in fractional coordinates, are Nb at (0.0000, 0.0000, 0.0000), Pb at (0.5000, 0.5000, 0.5000), S at (0.5000, 0.5000, 0.0000) and N at (0.0000, 0.5000, 0.5000).

For the energy above the most stable polymorph in this dataset, the calculation gives 1.743 eV per atom. As for the spin magnetization: 0.963 μB/f.u. The calculation puts the uncorrected formation energy at 836 kJ/mol of formula units.

Mn2TcHAu after structural relaxation, computed with PBE.

It has space group P4/mmm (No. 123), with a = 4.1454 Å, b = 4.1454 Å, c = 3.6433 Å, α = 90.00°, β = 90.00° and γ = 90.00°. The distinct sites, in fractional coordinates, are Mn at (0.0000, 0.5000, 0.0000), Tc at (0.0000, 0.0000, 0.5000), H at (0.0000, 0.0000, 0.0000) and Au at (0.5000, 0.5000, 0.5000).

The calculation puts the total energy at -6.906 eV/atom. As for the spin magnetization: 7.116 μB/f.u.

Tl3SnBi after structural relaxation, computed with PBE.

It has space group Pbcm (No. 57), with a = 12.6112 Å, b = 8.0054 Å, c = 6.5429 Å, α = 90.00°, β = 90.00° and γ = 90.00°. The distinct sites, in fractional coordinates, are Tl at (0.0034, 0.2500, 0.0000), Tl at (0.2625, 0.1037, 0.2500), Tl at (0.4545, 0.0961, 0.7500), Sn at (0.3324, 0.7500, 0.0000) and Bi at (0.1725, 0.5146, 0.2500).

For the energy above the most stable polymorph in this dataset, the calculation gives 0.000 eV per atom. As for the spin magnetization: 0.000 μB/f.u.

TaBeTl2O after structural relaxation, computed with PBE.

It has space group P4/mmm (No. 123), with a = 5.7243 Å, b = 5.7243 Å, c = 2.8779 Å, α = 90.00°, β = 90.00° and γ = 90.00°. The distinct sites, in fractional coordinates, are Ta at (0.0000, 0.0000, 0.0000), Be at (0.5000, 0.5000, 0.5000), Tl at (0.0000, 0.5000, 0.5000) and O at (0.5000, 0.5000, 0.0000).

As for the spin magnetization: 0.000 μB/f.u. The calculation puts the uncorrected formation energy at -114 kJ/mol of formula units.

Tm4Ga3Ir after structural relaxation, computed with PBE.

It has space group Pmm2 (No. 25), with a = 3.8649 Å, b = 4.2785 Å, c = 10.7946 Å, α = 90.00°, β = 90.00° and γ = 90.00°. The distinct sites, in fractional coordinates, are Tm at (0.0000, 0.0000, 0.0000), Tm at (0.0000, 0.5000, 0.2682), Tm at (0.5000, 0.0000, 0.4690), Tm at (0.5000, 0.5000, 0.7783), Ga at (0.0000, 0.0000, 0.7055), Ga at (0.0000, 0.5000, 0.5543), Ga at (0.5000, 0.5000, 0.0530) and Ir at (0.5000, 0.0000, 0.2010).

The calculation puts the total energy at -5.173 eV/atom. As for the spin magnetization: 0.000 μB/f.u.

PmYRh after structural relaxation, computed with PBE.

It has space group F-43m (No. 216), with a = 6.8972 Å, b = 6.8972 Å, c = 6.8972 Å, α = 90.00°, β = 90.00° and γ = 90.00°. The distinct sites, in fractional coordinates, are Pm at (0.0000, 0.0000, 0.0000), Y at (0.0000, 0.0000, 0.5000) and Rh at (0.2500, 0.2500, 0.7500).

For the energy above the most stable polymorph in this dataset, the calculation gives 0.056 eV per atom. As for the spin magnetization: 0.000 μB/f.u.

LaPb2F8 after structural relaxation, computed with PBE.

It has space group C2/m (No. 12), with a = 17.7027 Å, b = 3.9314 Å, c = 5.5395 Å, α = 90.00°, β = 101.39° and γ = 90.00°. The distinct sites, in fractional coordinates, are La at (0.0000, 0.0000, 0.0000), Pb at (0.1566, 0.5000, 0.5460), F at (0.0253, 0.5000, 0.2504), F at (0.0949, 0.0000, 0.7386), F at (0.1287, 0.0000, 0.2748) and F at (0.2450, 0.0000, 0.6857).

For the energy above the most stable polymorph in this dataset, the calculation gives 0.018 eV per atom. As for the spin magnetization: 0.000 μB/f.u. The calculation puts the uncorrected formation energy at -3008 kJ/mol of formula units.